1.
Entry from the Alexandria database: La6BiP2Se3 after structural relaxation (GGA-PBE).

a = 19.051 Å, b = 4.359 Å, c = 8.786 Å
α = 90.00°, β = 103.10°, γ = 90.00°
Space group C2/m (No. 12)
Symmetry-distinct sites (fractional):
La 0.007 0.000 0.267
La 0.171 0.500 0.574
La 0.173 0.500 0.103
Bi 0.000 0.500 0.000
P 0.168 0.000 0.336
Se 0.000 0.500 0.500
Se 0.163 0.000 0.833

Calculated values
Magnetic moment in Bohr magnetons per cell: 0.00
Volume in Å³/cell: 710.63
E_form (uncorrected) in meV/atom: -1721

---

2.
Entry from the Alexandria database: La4BiTe2P after structural relaxation (GGA-PBE).

a = 7.891 Å, b = 4.507 Å, c = 7.902 Å
α = 90.00°, β = 109.08°, γ = 90.00°
Space group P2/m (No. 10)
Symmetry-distinct sites (fractional):
La 0.225 0.000 0.225
La 0.236 0.500 0.765
Bi 0.000 0.000 0.500
Te 0.500 0.000 0.000
Te 0.500 0.500 0.500
P 0.000 0.500 0.000

Calculated values
Magnetic moment in Bohr magnetons per cell: 0.00
Volume in Å³/cell: 265.57
E_form (uncorrected) in meV/atom: -1473

---

3.
Entry from the Alexandria database: La6Bi2Te3P after structural relaxation (GGA-PBE).

a = 19.999 Å, b = 4.548 Å, c = 9.217 Å
α = 90.00°, β = 103.33°, γ = 90.00°
Space group C2/m (No. 12)
Symmetry-distinct sites (fractional):
La 0.002 0.000 0.281
La 0.153 0.500 0.576
La 0.165 0.500 0.084
Bi 0.166 0.000 0.834
Te 0.000 0.500 0.000
Te 0.171 0.000 0.337
P 0.000 0.500 0.500

Calculated values
Magnetic moment in Bohr magnetons per cell: 0.00
Volume in Å³/cell: 815.77
E_form (uncorrected) in meV/atom: -1434

---

4.
Entry from the Alexandria database: LaVBi2P after structural relaxation (GGA-PBE).

a = 5.468 Å, b = 5.468 Å, c = 4.494 Å
α = 90.00°, β = 90.00°, γ = 90.00°
Space group P4/mmm (No. 123)
Symmetry-distinct sites (fractional):
La 0.000 0.000 0.000
V 0.500 0.500 0.500
Bi 0.000 0.500 0.500
P 0.500 0.500 0.000

Calculated values
Magnetic moment in Bohr magnetons per cell: 0.00
Energy of formation from the pure elements in eV per atom: -0.1622
Volume in Å³/cell: 134.40